Compound: Ba2TaCu
Source: the Alexandria database
Functional: PBE
Structure: optimized geometry

Computed properties:
V ... 29.5 A^3/atom
VASP energy ... -4.095 eV per atom
ΔE to the lowest computed polymorph ... 271 meV per atom

a = 3.5217 Å, b = 3.5217 Å, c = 9.5014 Å
α = 90.00°, β = 90.00°, γ = 90.00°
With the nearest neighbours (Å) after each atom.
Space group P4/mmm (No. 123)
One atom of each set of equivalent atoms:
Ba 0.0000 0.0000 0.2317 (multiplicity 2)  4 Cu 3.32, 4 Ba 3.52, 4 Ta 3.56
Ta 0.5000 0.5000 0.5000 (multiplicity 1)  4 Ta 3.52, 8 Ba 3.56
Cu 0.5000 0.5000 0.0000 (multiplicity 1)  8 Ba 3.32, 4 Cu 3.52